No. 1
Compound: As2SeCl
Source: Alexandria via LeMat-Bulk
Functional: PBE
Structure: relaxed

- E_form (uncorrected) (meV/atom) = 209
- E_tot (eV/atom) = -3.4482
- density of states at the Fermi level (states/eV/atom) = 0.540
- relative energy among the computed polymorphs (meV per atom) = 341.4

Cell lengths 3.4803, 3.4803, 24.4402 Å; angles 90.00, 90.00, 120.00 degrees
Space group R-3m (No. 166, hexagonal axes)
Inequivalent atoms, fractional coordinates:
As: 0.0000 0.0000 0.2424 [6 per cell]
Se: 0.0000 0.0000 0.5000 [3 per cell]
Cl: 0.0000 0.0000 0.0000 [3 per cell]



No. 2
Compound: LaAl2Cd
Source: Alexandria via LeMat-Bulk
Functional: PBE
Structure: relaxed

- E_tot (eV/atom) = -3.5007
- density of states at the Fermi level (states/eV/atom) = 0.445

Cell lengths 4.5108, 3.5510, 12.0289 Å; angles 90.00, 90.00, 90.00 degrees
Space group Amm2 (No. 38)
Inequivalent atoms, fractional coordinates:
La: 0.0000 0.0000 0.0000 [2 per cell]
Al: 0.0000 0.0000 0.7335 [2 per cell]
Al: 0.5000 0.0000 0.6112 [2 per cell]
Cd: 0.5000 0.0000 0.3217 [2 per cell]



No. 3
Compound: Tb8Ho3Zr
Source: Alexandria via LeMat-Bulk
Functional: PBE
Structure: relaxed

- E_tot (eV/atom) = -4.2108
- density of states at the Fermi level (states/eV/atom) = 1.348

Cell lengths 7.6292, 7.6292, 15.1493 Å; angles 90.00, 90.00, 90.00 degrees
Space group I4/mmm (No. 139)
Inequivalent atoms, fractional coordinates:
Tb: 0.2412 0.2412 0.1203 [16 per cell]
Ho: 0.0000 0.0000 0.5000 [2 per cell]
Ho: 0.0000 0.5000 0.2500 [4 per cell]
Zr: 0.0000 0.0000 0.0000 [2 per cell]



No. 4
Compound: Ti3SnTe
Source: Alexandria via LeMat-Bulk
Functional: PBE
Structure: relaxed

- E_form (uncorrected) (meV/atom) = -214
- E_tot (eV/atom) = -6.3798
- density of states at the Fermi level (states/eV/atom) = 0.830
- relative energy among the computed polymorphs (meV per atom) = 0.0

Cell lengths 14.1791, 4.5790, 7.0383 Å; angles 90.00, 96.84, 90.00 degrees
Space group C2/m (No. 12)
Inequivalent atoms, fractional coordinates:
Ti: 0.0229 0.0000 0.1913 [4 per cell]
Ti: 0.1880 0.0000 0.9505 [4 per cell]
Ti: 0.2412 0.5000 0.6897 [4 per cell]
Sn: 0.1135 0.5000 0.0900 [4 per cell]
Te: 0.1271 0.0000 0.5662 [4 per cell]



No. 5
Compound: CaCo4
Source: Alexandria via LeMat-Bulk
Functional: PBE
Structure: relaxed

- E_tot (eV/atom) = -3.9788
- density of states at the Fermi level (states/eV/atom) = 1.618
- relative energy among the computed polymorphs (meV per atom) = 1967.1

Cell lengths 4.3865, 4.3865, 4.3865 Å; angles 90.00, 90.00, 90.00 degrees
Space group Pm-3m (No. 221)
Inequivalent atoms, fractional coordinates:
Ca: 0.0000 0.0000 0.0000 [1 per cell]
Co: 0.0000 0.0000 0.5000 [3 per cell]
Co: 0.5000 0.5000 0.5000 [1 per cell]



No. 6
Compound: ZrScNb2
Source: Alexandria via LeMat-Bulk
Functional: PBE
Structure: relaxed

- E_tot (eV/atom) = -8.5706
- density of states at the Fermi level (states/eV/atom) = 1.587
- relative energy among the computed polymorphs (meV per atom) = 0.0

Cell lengths 3.5164, 3.5164, 6.6617 Å; angles 90.00, 90.00, 90.00 degrees
Space group P4/mmm (No. 123)
Inequivalent atoms, fractional coordinates:
Zr: 0.0000 0.0000 0.0000 [1 per cell]
Sc: 0.0000 0.0000 0.5000 [1 per cell]
Nb: 0.5000 0.5000 0.2246 [2 per cell]



No. 7
Compound: In2FeOs
Source: Alexandria via LeMat-Bulk
Functional: PBE
Structure: relaxed

- E_tot (eV/atom) = -5.4259
- density of states at the Fermi level (states/eV/atom) = 1.004
- relative energy among the computed polymorphs (meV per atom) = 537.0

Cell lengths 7.3319, 7.3319, 5.6255 Å; angles 90.00, 90.00, 90.00 degrees
Space group I-42d (No. 122)
Inequivalent atoms, fractional coordinates:
In: 0.2444 0.2500 0.1250 [8 per cell]
Fe: 0.0000 0.0000 0.0000 [4 per cell]
Os: 0.0000 0.0000 0.5000 [4 per cell]



No. 8
Compound: TlZnPd3
Source: Alexandria via LeMat-Bulk
Functional: PBE
Structure: relaxed

- E_tot (eV/atom) = -3.6277
- density of states at the Fermi level (states/eV/atom) = 0.655
- relative energy among the computed polymorphs (meV per atom) = 439.6

Cell lengths 4.6702, 4.6702, 4.6702 Å; angles 90.00, 90.00, 90.00 degrees
Space group Pm-3m (No. 221)
Inequivalent atoms, fractional coordinates:
Tl: 0.0000 0.0000 0.0000 [1 per cell]
Zn: 0.5000 0.5000 0.5000 [1 per cell]
Pd: 0.0000 0.5000 0.5000 [3 per cell]



No. 9
Compound: Ta3C2
Source: Alexandria via LeMat-Bulk
Functional: PBE
Structure: relaxed

- E_tot (eV/atom) = -11.4126
- density of states at the Fermi level (states/eV/atom) = 0.265
- relative energy among the computed polymorphs (meV per atom) = 0.0

Cell lengths 3.1475, 3.1475, 22.5393 Å; angles 90.00, 90.00, 120.00 degrees
Space group R-3m (No. 166, hexagonal axes)
Inequivalent atoms, fractional coordinates:
Ta: 0.0000 0.0000 0.0000 [3 per cell]
Ta: 0.0000 0.0000 0.2206 [6 per cell]
C: 0.0000 0.0000 0.3922 [6 per cell]



No. 10
Compound: Mg2PbW
Source: Alexandria via LeMat-Bulk
Functional: PBE
Structure: relaxed

- E_tot (eV/atom) = -4.4254
- density of states at the Fermi level (states/eV/atom) = 0.591

Cell lengths 3.1086, 4.2023, 6.1800 Å; angles 90.00, 90.00, 90.00 degrees
Space group Pmmm (No. 47)
Inequivalent atoms, fractional coordinates:
Mg: 0.0000 0.0000 0.2217 [2 per cell]
Pb: 0.5000 0.5000 0.5000 [1 per cell]
W: 0.5000 0.5000 0.0000 [1 per cell]



No. 11
Compound: NaHoMg2
Source: Alexandria via LeMat-Bulk
Functional: PBE
Structure: relaxed

- E_tot (eV/atom) = -2.1434
- density of states at the Fermi level (states/eV/atom) = 0.595
- relative energy among the computed polymorphs (meV per atom) = 81.0

Cell lengths 3.3386, 3.3386, 36.0964 Å; angles 90.00, 90.00, 120.00 degrees
Space group R-3m (No. 166, hexagonal axes)
Inequivalent atoms, fractional coordinates:
Na: 0.0000 0.0000 0.0000 [3 per cell]
Ho: 0.0000 0.0000 0.5000 [3 per cell]
Mg: 0.0000 0.0000 0.0890 [6 per cell]



No. 12
Compound: Sr2Mn2Ge
Source: Alexandria via LeMat-Bulk
Functional: PBE
Structure: relaxed

- E_tot (eV/atom) = -4.9003
- density of states at the Fermi level (states/eV/atom) = 0.826

Cell lengths 3.3564, 3.3564, 20.6587 Å; angles 90.00, 90.00, 90.00 degrees
Space group I4/mmm (No. 139)
Inequivalent atoms, fractional coordinates:
Sr: 0.0000 0.0000 0.1106 [4 per cell]
Mn: 0.0000 0.5000 0.2500 [4 per cell]
Ge: 0.0000 0.0000 0.5000 [2 per cell]